DFT (PBE) results for crystalline MgTi3Ir4 at its relaxed geometry.

Cell and atoms, written as POSCAR:
```
MgTi3Ir4
1.0
-3.0412 2.7229 1.6633
-3.7943 0.6430 -2.1494
-5.2359 -4.3673 3.4166
Mg Ir Ti
1 4 3
Cartesian
0.0000 0.0000 0.0000
-7.9792 1.2431 0.8979
-7.1164 -2.5064 2.7729
-4.0923 -2.2445 2.0327
-4.9551 1.5051 0.1577
-2.9937 -0.2055 0.7034
-9.0778 -0.7959 2.2272
-6.0357 -0.5007 1.4653
```

## Properties
**Energy relative to the elements**: -0.77 eV/atom
**Magnetic moment**: 0.00 μB per formula unit
**Space-group type**: R-3m (166)
**Raw total energy**: -8.36 eV per atom
**N(E_F)**: 9.77 states/eV/cell

---

DFT (PBE) results for crystalline Mg2TiIr3 at its relaxed geometry.

Cell and atoms, written as POSCAR:
```
Mg2TiIr3
1.0
2.2068 -6.6068 0.0000
2.2068 6.6068 0.0000
0.0000 0.0000 6.1698
Mg Ti Ir
4 2 6
Cartesian
0.0000 0.0000 0.0000
0.0000 0.0000 3.0849
2.2068 2.2040 3.0849
2.2068 -2.2040 3.0849
2.2068 2.1616 0.0000
2.2068 -2.1616 0.0000
2.2068 -4.3694 4.6806
2.2068 0.0000 1.5186
2.2068 4.3694 1.4892
2.2068 -4.3694 1.4892
2.2068 4.3694 4.6806
2.2068 0.0000 4.6512
```

## Properties
**Energy relative to the elements**: -0.65 eV/atom
**Magnetic moment**: 0.00 μB per formula unit
**Space-group type**: Cmmm (65)
**Raw total energy**: -6.92 eV per atom
**N(E_F)**: 2.16 states/eV/cell